Entry 1:
Below is Li2DyPuHg4 after structural relaxation, with properties calculated at the GGA-PBE level.

Computed properties:
Formation energy from the elements (eV per atom): -0.2977

a = 5.0671 Å, b = 5.0671 Å, c = 8.8197 Å
α = 73.31°, β = 73.31°, γ = 60.00°
Fractional coordinates of all 8 atoms:
Li  0.7512  0.7512  0.7464
Li  0.2488  0.2488  0.2536
Dy  0.5000  0.5000  0.5000
Pu  0.0000  0.0000  0.0000
Hg  0.3776  0.3776  0.8672
Hg  0.8738  0.8738  0.3787
Hg  0.1262  0.1262  0.6213
Hg  0.6224  0.6224  0.1328

Entry 2:
Below is GeAuS2 after structural relaxation, with properties calculated at the GGA-PBE level.

Computed properties:
Total DFT energy (no corrections) (eV per atom): -4.076

a = 6.3830 Å, b = 8.6414 Å, c = 8.3989 Å
α = 90.00°, β = 90.00°, γ = 90.00°
Fractional coordinates of all 16 atoms:
Ge  0.9544  0.5005  0.8588
Ge  0.4544  0.9995  0.3588
Ge  0.4544  0.4995  0.1412
Ge  0.9544  0.0005  0.6412
Au  0.0642  0.1331  0.2614
Au  0.5642  0.8669  0.7386
Au  0.5642  0.3669  0.7614
Au  0.0642  0.6331  0.2386
S  0.3350  0.5445  0.8737
S  0.8350  0.4555  0.1263
S  0.8350  0.9555  0.3737
S  0.3350  0.0445  0.6263
S  0.3995  0.7224  0.2994
S  0.3995  0.2224  0.2006
S  0.8995  0.7776  0.7994
S  0.8995  0.2776  0.7006

Entry 3:
Below is LaPuGa2 after structural relaxation, with properties calculated at the GGA-PBE level.

Computed properties:
Formation energy from the elements (eV per atom): -0.2972
Excess energy over the best structure of this formula in the dataset (eV per atom): 0.0854

a = 3.5715 Å, b = 8.0228 Å, c = 13.1393 Å
α = 90.00°, β = 90.00°, γ = 90.00°
Fractional coordinates of all 16 atoms:
La  0.7500  0.3488  0.3675
La  0.2500  0.6512  0.6325
La  0.7500  0.8488  0.1325
La  0.2500  0.1512  0.8675
Pu  0.7500  0.4192  0.0262
Pu  0.2500  0.5808  0.9738
Pu  0.7500  0.9192  0.4738
Pu  0.2500  0.0808  0.5262
Ga  0.2500  0.0206  0.3065
Ga  0.7500  0.9794  0.6935
Ga  0.2500  0.5206  0.1935
Ga  0.7500  0.4794  0.8065
Ga  0.2500  0.1888  0.1416
Ga  0.7500  0.8112  0.8584
Ga  0.2500  0.6888  0.3584
Ga  0.7500  0.3112  0.6416

Entry 4:
Below is RbNaIn2Cu after structural relaxation, with properties calculated at the GGA-PBE level.

Computed properties:
Formation energy from the elements (eV per atom): 0.0392

a = 5.1604 Å, b = 5.1604 Å, c = 5.7919 Å
α = 90.00°, β = 90.00°, γ = 90.00°
Fractional coordinates of all 5 atoms:
Na  0.0000  0.0000  0.5000
Cu  0.0000  0.0000  0.0000
Rb  0.5000  0.5000  0.5000
In  0.0000  0.5000  0.0000
In  0.5000  0.0000  0.0000

Number 1: total moment 5.9 μB/cell. Number 2: total moment 0.0 μB/cell. Number 3: total moment 0.0 μB/cell. Number 4: total moment 0.0 μB/cell.